(1)
Pm2Pr6ErMg: relaxed, PBE.

Calculated values
SG ... No. 15
Energy of formation ... 0.105 eV per atom

Cell: 9.539 8.716 8.716 Å, 105.58 95.79 95.79°
Element x y z (fractional)
Pm 0.591 0.200 0.266
Pm 0.091 0.266 0.200
Pm 0.409 0.800 0.734
Pm 0.909 0.734 0.800
Pr 0.596 0.435 0.671
Pr 0.925 0.921 0.256
Pr 0.096 0.671 0.435
Pr 0.175 0.538 0.968
Pr 0.075 0.079 0.744
Pr 0.425 0.256 0.921
Pr 0.675 0.968 0.538
Pr 0.575 0.744 0.079
Pr 0.825 0.462 0.032
Pr 0.904 0.329 0.565
Pr 0.325 0.032 0.462
Pr 0.404 0.565 0.329
Er 0.250 0.937 0.063
Er 0.750 0.063 0.937
Mg 0.250 0.402 0.598
Mg 0.750 0.598 0.402



(2)
Pm2Pr6Er3Mg: relaxed, PBE.

Calculated values
SG ... No. 12
Energy of formation ... 0.013 eV per atom

Cell: 6.275 6.275 11.898 Å, 95.05 95.05 120.04°
Element x y z (fractional)
Pr 0.248 0.248 0.747
Pr 0.917 0.586 0.748
Pr 0.414 0.083 0.252
Pr 0.586 0.917 0.748
Pr 0.752 0.752 0.253
Pr 0.083 0.414 0.252
Pm 0.667 0.333 0.000
Pm 0.333 0.667 0.000
Mg 0.000 0.000 0.000
Er 0.834 0.166 0.500
Er 0.500 0.500 0.500
Er 0.166 0.834 0.500



(3)
PmPrEr2Mg: relaxed, PBE.

Calculated values
SG ... No. 12
Energy of formation ... 0.030 eV per atom

Cell: 4.966 6.115 11.178 Å, 89.69 90.00 113.95°
Element x y z (fractional)
Er 0.352 0.704 0.547
Er 0.648 0.296 0.453
Er 0.845 0.690 0.051
Er 0.155 0.310 0.949
Mg 0.946 0.892 0.361
Mg 0.054 0.108 0.639
Pm 0.247 0.494 0.256
Pm 0.753 0.506 0.744
Pr 0.547 0.094 0.152
Pr 0.453 0.906 0.848



(4)
Pm3Pr6Er2Mg: relaxed, PBE.

Calculated values
SG ... No. 12
Energy of formation ... 0.028 eV per atom

Cell: 6.324 6.324 11.914 Å, 95.11 95.11 120.08°
Element x y z (fractional)
Pr 0.413 0.080 0.244
Pr 0.587 0.920 0.756
Pr 0.252 0.252 0.754
Pr 0.920 0.587 0.756
Pr 0.748 0.748 0.246
Pr 0.080 0.413 0.244
Er 0.666 0.334 0.000
Er 0.334 0.666 0.000
Mg 0.000 0.000 0.000
Pm 0.833 0.167 0.500
Pm 0.167 0.833 0.500
Pm 0.500 0.500 0.500



(5)
PmErMgPt: relaxed, PBE.

Calculated values
SG ... No. 216
Energy of formation ... -0.563 eV per atom

Cell: 5.131 5.131 5.131 Å, 60.00 60.00 60.00°
Element x y z (fractional)
Pm 0.000 0.000 0.000
Mg 0.750 0.750 0.750
Pt 0.250 0.250 0.250
Er 0.500 0.500 0.500



(6)
PmErMgRh: relaxed, PBE.

Calculated values
SG ... No. 216
Energy of formation ... -0.375 eV per atom

Cell: 5.097 5.097 5.097 Å, 60.00 60.00 60.00°
Element x y z (fractional)
Rh 0.500 0.500 0.500
Mg 0.000 0.000 0.000
Pm 0.250 0.250 0.250
Er 0.750 0.750 0.750



(7)
PmEr2MgRh4: relaxed, PBE.

Calculated values
SG ... No. 166
Energy of formation ... -0.780 eV per atom

Cell: 4.745 4.745 8.281 Å, 73.35 73.35 60.00°
Element x y z (fractional)
Er 0.243 0.243 0.270
Er 0.757 0.757 0.730
Mg 0.500 0.500 0.500
Rh 0.622 0.622 0.135
Rh 0.874 0.874 0.378
Rh 0.378 0.378 0.865
Rh 0.126 0.126 0.622
Pm 0.000 0.000 0.000



(8)
PmEr4MgS8: relaxed, PBE.

Calculated values
Formation energy from raw total energies ... -1.9077 eV/atom
SG ... No. 160

Cell: 7.945 7.945 7.981 Å, 60.15 60.15 60.00°
Element x y z (fractional)
Er 0.003 0.003 0.503
Er 0.626 0.626 0.123
Er 0.492 0.003 0.503
Er 0.003 0.492 0.503
S 0.759 0.759 0.724
S 0.251 0.761 0.737
S 0.229 0.752 0.267
S 0.246 0.246 0.263
S 0.761 0.251 0.737
S 0.251 0.251 0.737
S 0.752 0.752 0.267
S 0.752 0.229 0.267
Pm 0.002 0.002 0.993
Mg 0.375 0.375 0.874



(9)
Pm4Er2MgSc: relaxed, PBE.

Calculated values
SG ... No. 123
Energy of formation ... 0.018 eV per atom

Cell: 5.035 5.037 10.893 Å, 62.43 90.00 90.00°
Element x y z (fractional)
Er 0.500 0.000 0.500
Er 0.000 0.000 0.000
Pm 0.500 0.749 0.251
Pm 0.000 0.751 0.749
Pm 0.000 0.249 0.251
Pm 0.500 0.251 0.749
Sc 0.000 0.500 0.500
Mg 0.500 0.500 0.000



(10)
Pm3Er3MgSe8: relaxed, PBE.

Calculated values
Formation energy from raw total energies ... -1.7613 eV/atom
SG ... No. 166

Cell: 8.144 8.144 8.245 Å, 119.60 90.00 120.00°
Element x y z (fractional)
Er 0.500 0.000 0.500
Er 0.500 0.500 0.500
Er 0.000 0.500 0.500
Se 0.745 0.491 0.736
Se 0.255 0.509 0.264
Se 0.251 0.009 0.267
Se 0.242 0.991 0.733
Se 0.242 0.485 0.733
Se 0.758 0.515 0.267
Se 0.758 0.009 0.267
Se 0.749 0.991 0.733
Pm 0.000 0.500 0.000
Pm 0.000 0.000 0.000
Pm 0.500 0.500 0.000
Mg 0.000 0.000 0.500



(11)
PmErMgSi: relaxed, PBE.

Calculated values
Formation energy from raw total energies ... -0.2746 eV/atom
SG ... No. 216

Cell: 5.127 5.127 5.127 Å, 60.00 60.00 60.00°
Element x y z (fractional)
Si 0.500 0.500 0.500
Pm 0.250 0.250 0.250
Er 0.750 0.750 0.750
Mg 0.000 0.000 0.000



(12)
Pm2Sm4ErMg: relaxed, PBE.

Calculated values
SG ... No. 123
Energy of formation ... 0.015 eV per atom

Cell: 5.032 5.039 11.326 Å, 63.58 90.00 90.00°
Element x y z (fractional)
Sm 0.500 0.751 0.249
Sm 0.000 0.749 0.752
Sm 0.000 0.251 0.248
Sm 0.500 0.249 0.751
Pm 0.000 0.000 0.000
Pm 0.500 0.000 0.500
Mg 0.500 0.500 0.000
Er 0.000 0.500 0.500



(13)
Pm2Sm4Er2Mg: relaxed, PBE.

Calculated values
SG ... No. 2
Energy of formation ... 0.131 eV per atom

Cell: 7.095 8.546 6.647 Å, 120.07 120.10 79.18°
Element x y z (fractional)
Sm 0.343 0.346 0.156
Sm 0.377 0.218 0.594
Sm 0.657 0.654 0.844
Sm 0.623 0.782 0.406
Er 0.862 0.399 0.167
Er 0.138 0.601 0.833
Pm 0.161 0.815 0.509
Pm 0.839 0.185 0.491
Mg 0.000 0.000 0.000



(14)
Pm6Sm2Er3Mg: relaxed, PBE.

Calculated values
SG ... No. 12
Energy of formation ... 0.015 eV per atom

Cell: 6.210 6.210 11.801 Å, 95.04 95.04 120.05°
Element x y z (fractional)
Er 0.166 0.834 0.500
Er 0.834 0.166 0.500
Er 0.500 0.500 0.500
Pm 0.585 0.917 0.748
Pm 0.752 0.752 0.253
Pm 0.083 0.415 0.252
Pm 0.415 0.083 0.252
Pm 0.917 0.585 0.748
Pm 0.248 0.248 0.747
Mg 0.000 0.000 0.000
Sm 0.333 0.667 0.000
Sm 0.667 0.333 0.000



(15)
PmSm2ErMg: relaxed, PBE.

Calculated values
SG ... No. 51
Energy of formation ... 0.169 eV per atom

Cell: 7.264 7.486 5.924 Å, 90.00 90.00 90.00°
Element x y z (fractional)
Pm 0.841 0.500 0.250
Pm 0.159 0.500 0.750
Er 0.628 0.000 0.250
Er 0.372 0.000 0.750
Sm 0.689 0.283 0.750
Sm 0.311 0.283 0.250
Sm 0.689 0.717 0.750
Sm 0.311 0.717 0.250
Mg 0.000 0.000 0.000
Mg 0.000 0.000 0.500



(16)
Pm2SmErMg: relaxed, PBE.

Calculated values
SG ... No. 11
Energy of formation ... 0.013 eV per atom

Cell: 5.580 6.674 9.681 Å, 61.03 90.00 90.00°
Element x y z (fractional)
Pm 0.750 0.686 0.855
Pm 0.250 0.050 0.571
Pm 0.750 0.950 0.429
Pm 0.250 0.314 0.145
Mg 0.750 0.515 0.246
Mg 0.250 0.485 0.754
Sm 0.750 0.310 0.646
Sm 0.250 0.690 0.354
Er 0.250 0.933 0.943
Er 0.750 0.067 0.057



(17)
PmSmErMg: relaxed, PBE.

Calculated values
Distance to the lowest polymorph of the same formula ... 50 meV/atom
SG ... No. 216
Energy of formation ... 0.021 eV per atom

Cell: 5.560 5.560 5.560 Å, 60.00 60.00 60.00°
Element x y z (fractional)
Mg 0.000 0.000 0.000
Er 0.500 0.500 0.500
Pm 0.250 0.250 0.250
Sm 0.750 0.750 0.750



(18)
Pm6SmEr2Mg: relaxed, PBE.

Calculated values
SG ... No. 15
Energy of formation ... 0.109 eV per atom

Cell: 9.475 8.583 8.583 Å, 106.22 96.51 96.51°
Element x y z (fractional)
Sm 0.250 0.935 0.065
Sm 0.750 0.065 0.935
Pm 0.575 0.741 0.077
Pm 0.329 0.034 0.465
Pm 0.075 0.077 0.741
Pm 0.904 0.327 0.565
Pm 0.829 0.465 0.034
Pm 0.596 0.435 0.673
Pm 0.671 0.966 0.535
Pm 0.925 0.923 0.259
Pm 0.404 0.565 0.327
Pm 0.171 0.535 0.966
Pm 0.096 0.673 0.435
Pm 0.425 0.259 0.923
Mg 0.250 0.402 0.598
Mg 0.750 0.598 0.402
Er 0.906 0.731 0.801
Er 0.594 0.199 0.269
Er 0.094 0.269 0.199
Er 0.406 0.801 0.731



(19)
Pm2SmEr4Mg: relaxed, PBE.

Calculated values
SG ... No. 123
Energy of formation ... 0.030 eV per atom

Cell: 4.954 4.963 11.276 Å, 63.88 90.00 90.00°
Element x y z (fractional)
Sm 0.500 0.500 0.000
Er 0.000 0.752 0.748
Er 0.500 0.252 0.748
Er 0.500 0.748 0.252
Er 0.000 0.248 0.252
Pm 0.500 0.000 0.500
Pm 0.000 0.000 0.000
Mg 0.000 0.500 0.500



(20)
PmSmEr2Mg: relaxed, PBE.

Calculated values
SG ... No. 12
Energy of formation ... 0.029 eV per atom

Cell: 4.961 6.068 11.116 Å, 89.90 90.02 114.10°
Element x y z (fractional)
Sm 0.453 0.906 0.849
Sm 0.547 0.094 0.151
Pm 0.754 0.508 0.745
Pm 0.246 0.492 0.255
Mg 0.054 0.107 0.640
Mg 0.946 0.893 0.360
Er 0.648 0.296 0.452
Er 0.154 0.309 0.948
Er 0.352 0.704 0.548
Er 0.846 0.691 0.052



(21)
Pm4Sm2ErMg: relaxed, PBE.

Calculated values
SG ... No. 123
Energy of formation ... 0.011 eV per atom

Cell: 5.052 5.056 11.307 Å, 63.42 90.00 90.00°
Element x y z (fractional)
Sm 0.000 0.000 0.000
Sm 0.500 0.000 0.500
Pm 0.500 0.249 0.752
Pm 0.000 0.252 0.248
Pm 0.000 0.748 0.752
Pm 0.500 0.751 0.248
Mg 0.500 0.500 0.000
Er 0.000 0.500 0.500



(22)
PmSmErMg: relaxed, PBE.

Calculated values
Distance to the lowest polymorph of the same formula ... 0 meV/atom
SG ... No. 99
Energy of formation ... -0.029 eV per atom

Cell: 3.648 3.648 9.174 Å, 90.00 90.00 90.00°
Element x y z (fractional)
Pm 0.000 0.000 0.076
Mg 0.000 0.000 0.565
Er 0.500 0.500 0.343
Sm 0.500 0.500 0.800



(23)
PmErMgSn: relaxed, PBE.

Calculated values
SG ... No. 216
Energy of formation ... -0.401 eV per atom

Cell: 5.336 5.336 5.336 Å, 60.00 60.00 60.00°
Element x y z (fractional)
Mg 0.750 0.750 0.750
Pm 0.000 0.000 0.000
Er 0.500 0.500 0.500
Sn 0.250 0.250 0.250



Number 1: energy -4.329 eV/atom. Number 2: energy -4.442 eV/atom. Number 3: energy -4.020 eV/atom. Number 4: energy -4.443 eV/atom. Number 5: energy -4.800 eV/atom. Number 6: energy -4.940 eV/atom. Number 7: energy -6.389 eV/atom. Number 8: energy -6.023 eV/atom. Number 9: energy -4.489 eV/atom. Number 10: energy -5.589 eV/atom. Number 11: energy -4.357 eV/atom. Number 12: energy -4.302 eV/atom. Number 13: energy -4.213 eV/atom. Number 14: energy -4.421 eV/atom. Number 15: energy -3.900 eV/atom. Number 16: energy -4.063 eV/atom. Number 17: energy -3.886 eV/atom. Number 18: energy -4.285 eV/atom. Number 19: energy -4.229 eV/atom. Number 20: energy -4.009 eV/atom. Number 21: energy -4.314 eV/atom. Number 22: energy -3.936 eV/atom. Number 23: energy -4.128 eV/atom.